# 1
Material: GaCu3Pt2
Method: DFT, PBE-GGA
State: relaxed

## Properties
Total energy = -4.81 eV per atom
Energy relative to the elements = -0.245 eV per atom

Cell: 2.7561 4.1653 7.1880 Å, 90.00 90.00 90.00°
With the nearest neighbours (Å) after each atom.
Element x y z (fractional)
Ga1 0.0000 0.0000 0.0000  3 Cu 2.43-2.44
Cu1 0.0000 0.0000 0.3389  2 Cu 2.37, 1 Ga 2.44
Cu2 0.0000 0.5000 0.4970  3 Cu 2.37
Cu3 0.0000 0.5000 0.8268  1 Cu 2.37, 2 Ga 2.43
Pt1 0.5000 0.0000 0.6714  2 Ga 2.73, 10 Cu 2.74-2.79, 2 Pt 2.76
Pt2 0.5000 0.5000 0.1609  4 Ga 2.75, 2 Pt 2.76, 8 Cu 2.77-2.81

***

# 2
Material: Ga2Cu6Pt
Method: DFT, PBE-GGA
State: relaxed

## Properties
Total energy = -4.22 eV per atom
Energy relative to the elements = -0.142 eV per atom

Cell: 6.5919 6.5919 6.7738 Å, 115.13 115.13 86.56°
With the nearest neighbours (Å) after each atom.
Element x y z (fractional)
Ga1 0.0942 0.2773 0.4338  7 Cu 2.48-2.71, 2 Pt 2.56-2.60
Ga2 0.2773 0.0942 0.9338  7 Cu 2.48-2.71, 2 Pt 2.56-2.60
Ga3 0.7227 0.9058 0.0662  7 Cu 2.48-2.71, 2 Pt 2.56-2.60
Ga4 0.9058 0.7227 0.5662  7 Cu 2.48-2.71, 2 Pt 2.56-2.60
Cu1 0.0869 0.8238 0.0316  5 Cu 2.43-2.65, 3 Ga 2.52-2.68
Cu2 0.1191 0.4229 0.8657  7 Cu 2.43-2.68, 2 Ga 2.48-2.59
Cu3 0.1762 0.9131 0.4684  5 Cu 2.43-2.65, 3 Ga 2.52-2.68
Cu4 0.3006 0.4901 0.3063  8 Cu 2.53-2.78, 2 Ga 2.61-2.71, 2 Pt 2.66-2.76
Cu5 0.4229 0.1191 0.3657  7 Cu 2.43-2.68, 2 Ga 2.48-2.59
Cu6 0.4901 0.3006 0.8063  8 Cu 2.53-2.78, 2 Ga 2.61-2.71, 2 Pt 2.66-2.76
Cu7 0.5099 0.6994 0.1937  8 Cu 2.53-2.78, 2 Ga 2.61-2.71, 2 Pt 2.66-2.76
Cu8 0.5771 0.8809 0.6343  7 Cu 2.43-2.68, 2 Ga 2.48-2.59
Cu9 0.6994 0.5099 0.6937  8 Cu 2.53-2.78, 2 Ga 2.61-2.71, 2 Pt 2.66-2.76
Cu10 0.8238 0.0869 0.5316  5 Cu 2.43-2.65, 3 Ga 2.52-2.68
Cu11 0.8809 0.5771 0.1343  7 Cu 2.43-2.68, 2 Ga 2.48-2.59
Cu12 0.9131 0.1762 0.9684  5 Cu 2.43-2.65, 3 Ga 2.52-2.68
Pt1 0.3237 0.6763 0.7500  4 Ga 2.56-2.60, 8 Cu 2.66-2.79
Pt2 0.6763 0.3237 0.2500  4 Ga 2.56-2.60, 8 Cu 2.66-2.79

***

# 3
Material: Ga6Cu3Pt
Method: DFT, PBE-GGA
State: relaxed

## Properties
Total energy = -3.79 eV per atom
Energy relative to the elements = -0.136 eV per atom

Cell: 6.7982 6.3548 9.1563 Å, 90.00 123.80 90.00°
With the nearest neighbours (Å) after each atom.
Element x y z (fractional)
Ga1 0.0486 0.0344 0.2975  3 Cu 2.56-2.61, 1 Pt 2.56, 2 Ga 2.71-2.83
Ga2 0.0486 0.4656 0.7975  3 Cu 2.56-2.61, 1 Pt 2.56, 2 Ga 2.71-2.83
Ga3 0.2584 0.6767 0.1062  1 Pt 2.52, 3 Cu 2.58-2.68, 2 Ga 2.67-2.71
Ga4 0.2584 0.8233 0.6062  1 Pt 2.52, 3 Cu 2.58-2.68, 2 Ga 2.67-2.71
Ga5 0.3944 0.1219 0.0558  4 Cu 2.52-2.73, 1 Pt 2.55, 2 Ga 2.67
Ga6 0.3944 0.3781 0.5558  4 Cu 2.52-2.73, 1 Pt 2.55, 2 Ga 2.67
Ga7 0.6056 0.6219 0.4442  4 Cu 2.52-2.73, 1 Pt 2.55, 2 Ga 2.67
Ga8 0.6056 0.8781 0.9442  4 Cu 2.52-2.73, 1 Pt 2.55, 2 Ga 2.67
Ga9 0.7416 0.1767 0.3938  1 Pt 2.52, 3 Cu 2.58-2.68, 2 Ga 2.67-2.71
Ga10 0.7416 0.3233 0.8938  1 Pt 2.52, 3 Cu 2.58-2.68, 2 Ga 2.67-2.71
Ga11 0.9514 0.5344 0.2025  3 Cu 2.56-2.61, 1 Pt 2.56, 2 Ga 2.71-2.83
Ga12 0.9514 0.9656 0.7025  3 Cu 2.56-2.61, 1 Pt 2.56, 2 Ga 2.71-2.83
Cu1 0.2959 0.1934 0.7512  7 Ga 2.52-2.73, 1 Cu 2.72
Cu2 0.2959 0.3066 0.2512  7 Ga 2.52-2.73, 1 Cu 2.72
Cu3 0.5000 0.0000 0.5000  6 Ga 2.56-2.64, 2 Cu 2.72
Cu4 0.5000 0.5000 0.0000  6 Ga 2.56-2.64, 2 Cu 2.72
Cu5 0.7041 0.6934 0.7488  7 Ga 2.52-2.73, 1 Cu 2.72
Cu6 0.7041 0.8066 0.2488  7 Ga 2.52-2.73, 1 Cu 2.72
Pt1 0.0000 0.0000 0.0000  6 Ga 2.52-2.56
Pt2 0.0000 0.5000 0.5000  6 Ga 2.52-2.56

***

# 4
Material: Ga6CuPt12
Method: DFT, PBE-GGA
State: relaxed

## Properties
Total energy = -5.34 eV per atom
Energy relative to the elements = -0.349 eV per atom

Cell: 7.0970 7.0970 7.0970 Å, 100.65 100.65 100.65°
With the nearest neighbours (Å) after each atom.
Element x y z (fractional)
Ga1 0.0168 0.6585 0.7687  6 Pt 2.48-2.66
Ga2 0.2313 0.9832 0.3415  6 Pt 2.48-2.66
Ga3 0.3415 0.2313 0.9832  6 Pt 2.48-2.66
Ga4 0.6585 0.7687 0.0168  6 Pt 2.48-2.66
Ga5 0.7687 0.0168 0.6585  6 Pt 2.48-2.66
Ga6 0.9832 0.3415 0.2313  6 Pt 2.48-2.66
Cu1 0.5000 0.5000 0.5000  6 Pt 2.54
Pt1 0.0154 0.3241 0.8860  4 Ga 2.49-2.66, 1 Pt 2.78
Pt2 0.1140 0.9846 0.6759  4 Ga 2.49-2.66, 1 Pt 2.78
Pt3 0.1891 0.6315 0.4834  2 Ga 2.48-2.55, 1 Cu 2.54, 2 Pt 2.77
Pt4 0.3241 0.8860 0.0154  4 Ga 2.49-2.66, 1 Pt 2.78
Pt5 0.3685 0.5166 0.8109  2 Ga 2.48-2.55, 1 Cu 2.54, 2 Pt 2.77
Pt6 0.4834 0.1891 0.6315  2 Ga 2.48-2.55, 1 Cu 2.54, 2 Pt 2.77
Pt7 0.5166 0.8109 0.3685  2 Ga 2.48-2.55, 1 Cu 2.54, 2 Pt 2.77
Pt8 0.6315 0.4834 0.1891  2 Ga 2.48-2.55, 1 Cu 2.54, 2 Pt 2.77
Pt9 0.6759 0.1140 0.9846  4 Ga 2.49-2.66, 1 Pt 2.78
Pt10 0.8109 0.3685 0.5166  2 Ga 2.48-2.55, 1 Cu 2.54, 2 Pt 2.77
Pt11 0.8860 0.0154 0.3241  4 Ga 2.49-2.66, 1 Pt 2.78
Pt12 0.9846 0.6759 0.1140  4 Ga 2.49-2.66, 1 Pt 2.78

***

# 5
Material: GaCu2Pt4
Method: DFT, PBE-GGA
State: relaxed

## Properties
Total energy = -4.48 eV per atom
Energy relative to the elements = 0.577 eV per atom

Cell: 6.9330 6.9330 6.9330 Å, 140.97 140.97 56.39°
With the nearest neighbours (Å) after each atom.
Element x y z (fractional)
Ga1 0.0000 0.0000 0.0000  6 Pt 2.32-2.40
Cu1 0.3975 0.3975 0.0000  5 Pt 2.46-2.63, 1 Cu 2.51
Cu2 0.6025 0.6025 0.0000  5 Pt 2.46-2.63, 1 Cu 2.51
Pt1 0.0000 0.5000 0.5000  2 Ga 2.32
Pt2 0.1965 0.1965 0.0000  1 Ga 2.40, 1 Cu 2.46
Pt3 0.5000 0.0000 0.5000  2 Ga 2.32
Pt4 0.8035 0.8035 0.0000  1 Ga 2.40, 1 Cu 2.46

***

# 6
Material: GaCu8Pt6
Method: DFT, PBE-GGA
State: relaxed

## Properties
Total energy = -4.83 eV per atom
Energy relative to the elements = -0.027 eV per atom

Cell: 6.6092 6.6092 6.6092 Å, 65.20 65.20 65.20°
With the nearest neighbours (Å) after each atom.
Element x y z (fractional)
Ga1 0.0000 0.0000 0.0000  6 Pt 2.55
Cu1 0.1139 0.4632 0.8044  4 Cu 2.50-2.75, 4 Pt 2.52-2.69
Cu2 0.1956 0.8861 0.5368  4 Cu 2.50-2.75, 4 Pt 2.52-2.69
Cu3 0.2660 0.2660 0.2660  3 Cu 2.50, 6 Pt 2.62-2.73
Cu4 0.4632 0.8044 0.1139  4 Cu 2.50-2.75, 4 Pt 2.52-2.69
Cu5 0.5368 0.1956 0.8861  4 Cu 2.50-2.75, 4 Pt 2.52-2.69
Cu6 0.7340 0.7340 0.7340  3 Cu 2.50, 6 Pt 2.62-2.73
Cu7 0.8044 0.1139 0.4632  4 Cu 2.50-2.75, 4 Pt 2.52-2.69
Cu8 0.8861 0.5368 0.1956  4 Cu 2.50-2.75, 4 Pt 2.52-2.69
Pt1 0.0908 0.6811 0.3637  6 Cu 2.52-2.73, 1 Ga 2.55, 3 Pt 2.72-2.82
Pt2 0.3189 0.6363 0.9092  6 Cu 2.52-2.73, 1 Ga 2.55, 3 Pt 2.72-2.82
Pt3 0.3637 0.0908 0.6811  6 Cu 2.52-2.73, 1 Ga 2.55, 3 Pt 2.72-2.82
Pt4 0.6363 0.9092 0.3189  6 Cu 2.52-2.73, 1 Ga 2.55, 3 Pt 2.72-2.82
Pt5 0.6811 0.3637 0.0908  6 Cu 2.52-2.73, 1 Ga 2.55, 3 Pt 2.72-2.82
Pt6 0.9092 0.3189 0.6363  6 Cu 2.52-2.73, 1 Ga 2.55, 3 Pt 2.72-2.82

***

# 7
Material: PuGa2CuPt4
Method: DFT, PBE-GGA
State: relaxed

## Properties
Total energy = -6.66 eV per atom
Energy relative to the elements = -0.584 eV per atom

Cell: 8.9194 8.9194 8.9194 Å, 27.85 27.85 27.85°
With the nearest neighbours (Å) after each atom.
Element x y z (fractional)
Pu1 0.0000 0.0000 0.0000  6 Pt 3.01
Ga1 0.2389 0.2389 0.2389  7 Pt 2.58-2.76
Ga2 0.7611 0.7611 0.7611  7 Pt 2.58-2.76
Cu1 0.5000 0.5000 0.5000  8 Pt 2.57-2.64
Pt1 0.1314 0.1314 0.1314  3 Cu 2.64, 4 Ga 2.66-2.76
Pt2 0.3998 0.3998 0.3998  1 Cu 2.57, 3 Ga 2.58
Pt3 0.6002 0.6002 0.6002  1 Cu 2.57, 3 Ga 2.58
Pt4 0.8686 0.8686 0.8686  3 Cu 2.64, 4 Ga 2.66-2.76

***

# 8
Material: PuGa4Cu2Pt
Method: DFT, PBE-GGA
State: relaxed

## Properties
Total energy = -5.37 eV per atom
Energy relative to the elements = -0.290 eV per atom

Cell: 9.2373 9.2373 9.2373 Å, 26.41 26.41 26.41°
With the nearest neighbours (Å) after each atom.
Element x y z (fractional)
Pu1 0.0000 0.0000 0.0000  6 Ga 3.01, 6 Cu 3.37
Ga1 0.1270 0.1270 0.1270  3 Pt 2.66, 3 Cu 2.66, 3 Ga 2.93
Ga2 0.3996 0.3996 0.3996  3 Cu 2.50, 1 Pt 2.68
Ga3 0.6004 0.6004 0.6004  3 Cu 2.50, 1 Pt 2.68
Ga4 0.8730 0.8730 0.8730  3 Pt 2.66, 3 Cu 2.66, 3 Ga 2.93
Cu1 0.2465 0.2465 0.2465  6 Ga 2.50-2.66
Cu2 0.7535 0.7535 0.7535  6 Ga 2.50-2.66
Pt1 0.5000 0.5000 0.5000  8 Ga 2.66-2.68

***

# 9
Material: PuGaCuPt3
Method: DFT, PBE-GGA
State: relaxed

## Properties
Total energy = -7.02 eV per atom
Energy relative to the elements = -0.423 eV per atom

Cell: 7.1705 7.1705 5.7322 Å, 90.00 90.00 133.72°
With the nearest neighbours (Å) after each atom.
Element x y z (fractional)
Pu1 0.1771 0.8229 0.7500  1 Cu 2.65, 2 Pt 2.82, 2 Ga 2.95
Pu2 0.8229 0.1771 0.2500  1 Cu 2.65, 2 Pt 2.82, 2 Ga 2.95
Ga1 0.1238 0.8762 0.2500  5 Pt 2.53-2.60, 2 Cu 2.82
Ga2 0.8762 0.1238 0.7500  5 Pt 2.53-2.60, 2 Cu 2.82
Cu1 0.3783 0.6217 0.7500  4 Pt 2.56, 1 Pu 2.65, 2 Ga 2.82
Cu2 0.6217 0.3783 0.2500  4 Pt 2.56, 1 Pu 2.65, 2 Ga 2.82
Pt1 0.2536 0.2536 0.0000  2 Cu 2.56, 2 Ga 2.60, 4 Pt 2.78-2.87
Pt2 0.2536 0.2536 0.5000  2 Cu 2.56, 2 Ga 2.60, 4 Pt 2.78-2.87
Pt3 0.3154 0.6846 0.2500  1 Ga 2.53, 2 Pu 2.82
Pt4 0.6846 0.3154 0.7500  1 Ga 2.53, 2 Pu 2.82
Pt5 0.7464 0.7464 0.0000  2 Cu 2.56, 2 Ga 2.60, 4 Pt 2.78-2.87
Pt6 0.7464 0.7464 0.5000  2 Cu 2.56, 2 Ga 2.60, 4 Pt 2.78-2.87

***

# 10
Material: Pu2Ga4Cu3Pt
Method: DFT, PBE-GGA
State: relaxed

## Properties
Total energy = -6.27 eV per atom
Energy relative to the elements = -0.359 eV per atom

Cell: 4.1734 4.1734 10.3028 Å, 90.00 90.00 90.00°
With the nearest neighbours (Å) after each atom.
Element x y z (fractional)
Pu1 0.0000 0.5000 0.2484  8 Ga 3.18-3.30, 6 Cu 3.19-3.33, 2 Pt 3.33
Pu2 0.5000 0.0000 0.7516  8 Ga 3.18-3.30, 6 Cu 3.19-3.33, 2 Pt 3.33
Ga1 0.0000 0.0000 0.0000  4 Cu 2.48
Ga2 0.0000 0.5000 0.6369  3 Cu 2.39-2.52, 2 Pt 2.52
Ga3 0.5000 0.0000 0.3631  3 Cu 2.39-2.52, 2 Pt 2.52
Ga4 0.5000 0.5000 0.0000  4 Cu 2.48
Cu1 0.0000 0.5000 0.8693  5 Ga 2.39-2.48
Cu2 0.5000 0.0000 0.1307  5 Ga 2.39-2.48
Cu3 0.5000 0.5000 0.5000  4 Ga 2.52
Pt1 0.0000 0.0000 0.5000  4 Ga 2.52

***

How do the records compare in magnetization? In the order shown, they have 0.0; 0.0; 0.0; 0.0; 0.0; 0.0; 4.8; 5.5; 4.9; 11.2 μB per formula unit.